! AgCBr2 PBE relaxed; values from VASP
! Energy relative to the elements, uncorrected, kJ/mol of formula units: 528
! SG: R-3m, No. 166
! Relative energy among the computed polymorphs, eV per atom: 0.128
! Magnetization, Bohr magnetons per cell: 0.00
&SYSTEM
  ibrav = 0, nat = 12, ntyp = 3
/
ATOMIC_SPECIES
Ag 107.87 Ag.upf
C 12.01 C.upf
Br 79.90 Br.upf
ATOMIC_POSITIONS crystal
Ag 0.000 0.000 0.000
Ag 0.333 0.667 0.667
Ag 0.667 0.333 0.333
C 0.000 0.000 0.500
C 0.333 0.667 0.167
C 0.667 0.333 0.833
Br 0.000 0.000 0.115
Br 0.000 0.000 0.885
Br 0.333 0.667 0.552
Br 0.333 0.667 0.781
Br 0.667 0.333 0.219
Br 0.667 0.333 0.448
CELL_PARAMETERS angstrom
3.387 0.000 0.000
-1.693 2.933 0.000
0.000 0.000 27.872